Ho5Hg4Ir GGA-PBE relaxed; V = 242.2 Å³/f.u.; E = -0.2838 Ry/atom
1.0
3.596 0.000 0.000
0.000 3.596 0.000
0.000 0.000 18.733
Ho Hg Ir
5 4 1
Cartesian
0.000 0.000 0.000
0.000 0.000 3.856
0.000 0.000 7.775
0.000 0.000 10.958
0.000 0.000 14.877
1.798 1.798 1.921
1.798 1.798 5.723
1.798 1.798 13.010
1.798 1.798 16.812
1.798 1.798 9.367